1.
Compound: Ac2TmSc
Source: Alexandria
Functional: PBE
Structure: relaxed

The space group is R3m (No. 160, hexagonal axes) and the conventional cell measures 3.7356, 3.7356 and 35.1485 Å, with angles of 90.00, 90.00 and 120.00 degrees. Symmetry generates all atoms from Ac at (0.0000, 0.0000, 0.0000), Ac at (0.0000, 0.0000, 0.1620), Tm at (0.0000, 0.0000, 0.5823) and Sc at (0.0000, 0.0000, 0.4135).

For the formation enthalpy at 0 K, the calculation gives 0.15 eV per atom. As for the crystal system: trigonal. The raw total energy comes out at -4.603 eV/atom.

2.
Compound: LuZrZnCo
Source: Alexandria
Functional: PBE
Structure: relaxed

The space group is F-43m (No. 216) and the conventional cell measures 6.6343, 6.6343 and 6.6343 Å, with angles of 90.00, 90.00 and 90.00 degrees. Symmetry generates all atoms from Lu at (0.0000, 0.0000, 0.0000), Zr at (0.0000, 0.0000, 0.5000), Zn at (0.2500, 0.2500, 0.7500) and Co at (0.2500, 0.2500, 0.2500).

For the formation enthalpy at 0 K, the calculation gives -0.23 eV per atom. As for the crystal system: cubic. The raw total energy comes out at -5.590 eV/atom.

3.
Compound: Be2Cu2Au7
Source: Alexandria
Functional: PBE
Structure: relaxed

The space group is C2/m (No. 12) and the conventional cell measures 7.0890, 10.0207 and 5.6564 Å, with angles of 90.00, 101.43 and 90.00 degrees. Symmetry generates all atoms from Be at (0.1652, 0.0000, 0.3030), Cu at (0.0000, 0.1374, 0.0000), Au at (0.0000, 0.5000, 0.5000), Au at (0.1846, 0.0000, 0.7252) and Au at (0.1894, 0.2785, 0.7235).

For the formation enthalpy at 0 K, the calculation gives 0.08 eV per atom. As for the crystal system: monoclinic. The raw total energy comes out at -3.425 eV/atom.